Computed, not measured: an optimized crystal structure of Rb3LiP2S6 at the PBE level of DFT.

extended XYZ file:
```
12
Lattice="7.075 0.000 0.000 -3.538 6.127 0.000 0.000 0.000 8.808" Properties=species:S:1:pos:R:3 pbc="T T T"
Rb 0.000 0.000 0.000
Rb 0.000 4.085 5.734
Rb 3.538 2.042 3.074
Li 0.000 0.000 4.404
P 0.000 4.085 2.178
P 3.538 2.042 6.629
S 0.000 2.108 2.674
S -1.712 5.073 2.674
S 1.825 1.054 6.133
S 1.712 5.073 2.674
S 5.250 1.054 6.133
S 3.538 4.019 6.133
```

The calculation puts the raw formation energy at -0.753 eV/atom. The mass density comes out at 2251 kg/m3. As for the space-group type: P-3m1 (164). For the magnetic moment, the calculation gives 0.00 Bohr magnetons per cell.



Computed, not measured: an optimized crystal structure of MgCdTe at the PBE level of DFT.

extended XYZ file:
```
3
Lattice="4.233 0.000 0.000 -2.116 3.666 0.000 0.000 0.000 5.536" Properties=species:S:1:pos:R:3 pbc="T T T"
Mg 0.000 0.000 0.000
Cd 2.116 1.222 2.057
Te 0.000 2.444 4.048
```

The calculation puts the raw formation energy at -0.300 eV/atom. The mass density comes out at 5109 kg/m3. As for the space-group type: P3m1 (156). For the magnetic moment, the calculation gives 0.00 Bohr magnetons per cell.



Computed, not measured: an optimized crystal structure of LaMgGe2Ir at the PBE level of DFT.

extended XYZ file:
```
10
Lattice="4.215 0.000 0.000 0.000 4.215 0.000 0.000 0.000 11.233" Properties=species:S:1:pos:R:3 pbc="T T T"
La 0.000 0.000 0.000
La 2.108 2.108 5.616
Mg 0.000 2.108 8.425
Mg 2.108 0.000 2.808
Ge 0.000 0.000 4.327
Ge 0.000 0.000 6.906
Ge 2.108 2.108 1.289
Ge 2.108 2.108 9.944
Ir 0.000 2.108 2.808
Ir 2.108 0.000 8.425
```

The calculation puts the energy of formation at -0.67 eV/atom. The mass density comes out at 8332 kg/m3. As for the space-group type: I-4m2 (119). For the magnetic moment, the calculation gives 0.00 Bohr magnetons per cell.



Computed, not measured: an optimized crystal structure of Pr4Bi2Pb at the PBE level of DFT.

extended XYZ file:
```
7
Lattice="2.376 1.372 13.131 -2.376 1.372 13.131 0.000 -2.744 13.131" Properties=species:S:1:pos:R:3 pbc="T T T"
Pr 0.000 0.000 4.827
Pr 0.000 0.000 11.841
Pr 0.000 0.000 27.553
Pr 0.000 0.000 34.566
Bi 0.000 0.000 16.007
Bi 0.000 0.000 23.386
Pb 0.000 0.000 19.697
```

The calculation puts the energy of formation at -0.57 eV/atom. The mass density comes out at 7685 kg/m3. As for the space-group type: R-3m (166). For the magnetic moment, the calculation gives 0.00 Bohr magnetons per cell.



Computed, not measured: an optimized crystal structure of K3NdF8 at the PBE level of DFT.

extended XYZ file:
```
12
Lattice="-3.038 3.038 6.235 3.038 -3.038 6.235 3.038 3.038 -6.235" Properties=species:S:1:pos:R:3 pbc="T T T"
K 0.000 0.000 0.000
K 3.038 0.000 3.117
K 0.000 3.038 3.117
Nd 0.000 0.000 6.235
F 1.679 1.679 -1.404
F 1.359 -1.359 4.830
F 1.679 1.679 1.404
F 1.359 -1.359 7.639
F -1.359 1.359 4.830
F 1.359 1.359 4.830
F -1.359 1.359 7.639
F 1.359 1.359 7.639
```

The calculation puts the raw formation energy at -2.739 eV/atom. The mass density comes out at 2984 kg/m3. As for the space-group type: I4/mmm (139). For the magnetic moment, the calculation gives 2.02 Bohr magnetons per cell.



Computed, not measured: an optimized crystal structure of Li4ZnPd3O8 at the PBE level of DFT.

extended XYZ file:
```
16
Lattice="5.111 -3.120 0.000 5.111 3.120 0.000 -3.457 0.000 5.075" Properties=species:S:1:pos:R:3 pbc="T T T"
Li 0.000 0.000 0.000
Li 0.827 1.560 2.538
Li 0.827 -1.560 2.538
Li 5.111 0.000 0.000
Zn -1.729 0.000 2.538
Pd 2.555 1.560 0.000
Pd 2.555 -1.560 0.000
Pd 3.382 0.000 2.538
O -0.157 0.000 3.961
O 4.142 1.480 1.321
O 1.632 0.000 1.476
O 2.621 1.480 3.754
O 4.142 -1.480 1.321
O 5.132 0.000 3.599
O 2.621 -1.480 3.754
O 6.921 0.000 1.114
```

The calculation puts the raw formation energy at -1.095 eV/atom. The mass density comes out at 5545 kg/m3. As for the space-group type: C2/m (12). For the magnetic moment, the calculation gives 2.00 Bohr magnetons per cell.



Computed, not measured: an optimized crystal structure of TePd6 at the PBE level of DFT.

extended XYZ file:
```
14
Lattice="7.010 0.000 0.000 0.000 7.010 0.000 0.000 0.000 7.010" Properties=species:S:1:pos:R:3 pbc="T T T"
Te 0.000 0.000 0.000
Te 3.505 3.505 3.505
Pd 0.000 1.752 3.505
Pd 0.000 3.505 1.752
Pd 0.000 3.505 5.257
Pd 0.000 5.257 3.505
Pd 1.752 0.000 3.505
Pd 1.752 3.505 0.000
Pd 3.505 0.000 1.752
Pd 3.505 0.000 5.257
Pd 3.505 1.752 0.000
Pd 3.505 5.257 0.000
Pd 5.257 0.000 3.505
Pd 5.257 3.505 0.000
```

The calculation puts the raw formation energy at 0.970 eV/atom. The mass density comes out at 7388 kg/m3. As for the space-group type: Im-3m (229). For the magnetic moment, the calculation gives 2.68 Bohr magnetons per cell.



Computed, not measured: an optimized crystal structure of SrAsBr2Cl at the PBE level of DFT.

extended XYZ file:
```
5
Lattice="6.260 0.000 0.000 0.000 6.260 0.000 0.000 0.000 4.530" Properties=species:S:1:pos:R:3 pbc="T T T"
Sr 0.000 0.000 0.000
As 3.130 3.130 0.000
Br 0.000 3.130 2.265
Br 3.130 0.000 2.265
Cl 3.130 3.130 2.265
```

The calculation puts the raw formation energy at -0.374 eV/atom. The mass density comes out at 3347 kg/m3. As for the space-group type: P4/mmm (123). For the magnetic moment, the calculation gives 0.00 Bohr magnetons per cell.



- mass density of number 2 (MgCdTe)?
  5109 kg/m3



- Look up the mass density of the first one.
  2251 kg/m3



- mass density of number 8 (SrAsBr2Cl)?
  3347 kg/m3